[1]
DFT (PBE) results for CdPPbF after structural relaxation.

Calculated values
As for the energy above the most stable polymorph in this dataset: 13.1 kJ per mole of atoms.

Cell: 11.938 11.938 11.938 Å, 19.42 19.42 19.42°
Element x y z (fractional)
Pb (0.795, 0.795, 0.795)
Pb (0.205, 0.205, 0.205)
Cd (0.623, 0.623, 0.623)
Cd (0.377, 0.377, 0.377)
F (0.687, 0.687, 0.687)
F (0.313, 0.313, 0.313)
P (0.086, 0.086, 0.086)
P (0.914, 0.914, 0.914)

[2]
DFT (PBE) results for CdPPbF after structural relaxation.

Calculated values
As for the energy above the most stable polymorph in this dataset: 5.1 kJ per mole of atoms.

Cell: 4.195 4.195 9.157 Å, 90.00 90.00 90.00°
Element x y z (fractional)
P (0.500, 0.500, 0.688)
P (0.000, 0.000, 0.312)
F (0.500, 0.000, 0.000)
F (0.000, 0.500, 0.000)
Pb (0.000, 0.000, 0.839)
Pb (0.500, 0.500, 0.161)
Cd (0.000, 0.500, 0.500)
Cd (0.500, 0.000, 0.500)

[3]
DFT (PBE) results for CdPPbF after structural relaxation.

Calculated values
As for the energy above the most stable polymorph in this dataset: 0.0 kJ per mole of atoms.

Cell: 11.011 11.011 11.011 Å, 22.27 22.27 22.27°
Element x y z (fractional)
F (0.307, 0.307, 0.307)
F (0.693, 0.693, 0.693)
Cd (0.804, 0.804, 0.804)
Cd (0.196, 0.196, 0.196)
Pb (0.613, 0.613, 0.613)
Pb (0.387, 0.387, 0.387)
P (0.109, 0.109, 0.109)
P (0.891, 0.891, 0.891)

[4]
DFT (PBE) results for CdPPbF after structural relaxation.

Calculated values
As for the energy above the most stable polymorph in this dataset: 44.5 kJ per mole of atoms.

Cell: 4.441 4.441 8.301 Å, 90.00 90.00 90.08°
Element x y z (fractional)
Cd (0.250, 0.750, 0.870)
Cd (0.750, 0.250, 0.130)
Pb (0.250, 0.250, 0.500)
Pb (0.750, 0.750, 0.500)
F (0.750, 0.750, 0.000)
F (0.250, 0.250, 0.000)
P (0.250, 0.750, 0.283)
P (0.750, 0.250, 0.717)

[5]
DFT (PBE) results for CdPPbF after structural relaxation.

Calculated values
As for the energy above the most stable polymorph in this dataset: 16.5 kJ per mole of atoms.

Cell: 10.094 15.534 4.475 Å, 90.00 90.00 90.00°
Element x y z (fractional)
Pb (0.803, 0.736, 0.500)
Pb (0.697, 0.236, 0.500)
Pb (0.308, 0.536, 0.500)
Pb (0.808, 0.964, 0.500)
Pb (0.692, 0.464, 0.500)
Pb (0.197, 0.264, 0.500)
Pb (0.303, 0.764, 0.500)
Pb (0.192, 0.036, 0.500)
F (0.748, 0.510, 0.000)
F (0.252, 0.490, 0.000)
F (0.701, 0.799, 0.000)
F (0.201, 0.701, 0.000)
F (0.752, 0.010, 0.000)
F (0.299, 0.201, 0.000)
F (0.248, 0.990, 0.000)
F (0.799, 0.299, 0.000)
P (0.421, 0.372, 0.500)
P (0.971, 0.433, 0.500)
P (0.029, 0.567, 0.500)
P (0.579, 0.628, 0.500)
P (0.529, 0.933, 0.500)
P (0.471, 0.067, 0.500)
P (0.079, 0.872, 0.500)
P (0.921, 0.128, 0.500)
Cd (0.448, 0.879, 0.000)
Cd (0.025, 0.806, 0.000)
Cd (0.475, 0.306, 0.000)
Cd (0.052, 0.379, 0.000)
Cd (0.948, 0.621, 0.000)
Cd (0.975, 0.194, 0.000)
Cd (0.552, 0.121, 0.000)
Cd (0.525, 0.694, 0.000)

[6]
DFT (PBE) results for CdPPbF after structural relaxation.

Calculated values
As for the energy above the most stable polymorph in this dataset: 26.6 kJ per mole of atoms.

Cell: 4.000 4.000 11.202 Å, 90.00 90.00 90.00°
Element x y z (fractional)
F (0.500, 0.500, 0.000)
F (0.000, 0.000, 0.000)
Pb (0.000, 0.500, 0.861)
Pb (0.500, 0.000, 0.139)
P (0.500, 0.000, 0.382)
P (0.000, 0.500, 0.618)
Cd (0.000, 0.500, 0.383)
Cd (0.500, 0.000, 0.617)

[7]
DFT (PBE) results for CdPbF3 after structural relaxation.

Calculated values
As for the total energy: -3.879 eV/atom.

Cell: 5.807 5.807 5.807 Å, 67.21 67.21 67.21°
Element x y z (fractional)
F (0.847, 0.083, 0.370)
F (0.347, 0.870, 0.583)
F (0.583, 0.347, 0.870)
F (0.083, 0.370, 0.847)
F (0.870, 0.583, 0.347)
F (0.370, 0.847, 0.083)
Pb (0.960, 0.960, 0.960)
Pb (0.460, 0.460, 0.460)
Cd (0.226, 0.226, 0.226)
Cd (0.726, 0.726, 0.726)

[8]
DFT (PBE) results for CdSbPbF after structural relaxation.

Calculated values
As for the energy above the most stable polymorph in this dataset: 0.1 kJ per mole of atoms.

Cell: 4.401 4.401 9.677 Å, 90.00 90.00 90.00°
Element x y z (fractional)
Cd (0.000, 0.500, 0.500)
Cd (0.500, 0.000, 0.500)
F (0.000, 0.500, 0.000)
F (0.500, 0.000, 0.000)
Pb (0.500, 0.500, 0.144)
Pb (0.000, 0.000, 0.856)
Sb (0.500, 0.500, 0.704)
Sb (0.000, 0.000, 0.296)

[9]
DFT (PBE) results for CdSbPbF after structural relaxation.

Calculated values
As for the energy above the most stable polymorph in this dataset: 6.4 kJ per mole of atoms.

Cell: 7.180 7.356 7.516 Å, 90.00 90.00 90.00°
Element x y z (fractional)
Cd (0.882, 0.771, 0.464)
Cd (0.618, 0.229, 0.964)
Cd (0.118, 0.271, 0.036)
Cd (0.382, 0.729, 0.536)
Pb (0.720, 0.708, 0.965)
Pb (0.220, 0.792, 0.035)
Pb (0.780, 0.292, 0.465)
Pb (0.280, 0.208, 0.535)
Sb (0.584, 0.945, 0.299)
Sb (0.416, 0.445, 0.201)
Sb (0.916, 0.055, 0.799)
Sb (0.084, 0.555, 0.701)
F (0.542, 0.382, 0.683)
F (0.958, 0.618, 0.183)
F (0.458, 0.882, 0.817)
F (0.042, 0.118, 0.317)

[10]
DFT (PBE) results for CdSbPbF after structural relaxation.

Calculated values
As for the energy above the most stable polymorph in this dataset: 4.9 kJ per mole of atoms.

Cell: 7.013 7.388 8.092 Å, 89.96 90.00 89.95°
Element x y z (fractional)
Cd (0.709, 0.044, 0.198)
Cd (0.799, 0.544, 0.812)
Cd (0.208, 0.950, 0.312)
Cd (0.299, 0.451, 0.698)
F (0.960, 0.272, 0.227)
F (0.547, 0.772, 0.784)
F (0.461, 0.722, 0.284)
F (0.047, 0.222, 0.726)
Sb (0.531, 0.311, 0.957)
Sb (0.031, 0.684, 0.553)
Sb (0.476, 0.184, 0.457)
Sb (0.977, 0.811, 0.053)
Pb (0.739, 0.529, 0.273)
Pb (0.769, 0.029, 0.738)
Pb (0.269, 0.966, 0.772)
Pb (0.239, 0.466, 0.238)

[11]
DFT (PBE) results for CdSbPbF after structural relaxation.

Calculated values
As for the energy above the most stable polymorph in this dataset: 10.1 kJ per mole of atoms.

Cell: 4.018 4.018 11.518 Å, 90.00 90.00 90.00°
Element x y z (fractional)
Cd (0.000, 0.500, 0.289)
Cd (0.500, 0.000, 0.711)
F (0.500, 0.500, 0.000)
F (0.000, 0.000, 0.000)
Sb (0.000, 0.500, 0.557)
Sb (0.500, 0.000, 0.443)
Pb (0.000, 0.500, 0.863)
Pb (0.500, 0.000, 0.137)

[12]
DFT (PBE) results for CdSbPbF after structural relaxation.

Calculated values
As for the energy above the most stable polymorph in this dataset: 11.3 kJ per mole of atoms.

Cell: 9.719 19.006 4.522 Å, 90.00 90.00 90.00°
Element x y z (fractional)
Cd (0.428, 0.391, 0.000)
Cd (0.572, 0.609, 0.000)
Cd (0.072, 0.891, 0.000)
Cd (0.416, 0.922, 0.000)
Cd (0.084, 0.422, 0.000)
Cd (0.584, 0.078, 0.000)
Cd (0.916, 0.578, 0.000)
Cd (0.928, 0.109, 0.000)
F (0.009, 0.411, 0.500)
F (0.501, 0.639, 0.500)
F (0.509, 0.089, 0.500)
F (0.499, 0.361, 0.500)
F (0.999, 0.139, 0.500)
F (0.491, 0.911, 0.500)
F (0.001, 0.861, 0.500)
F (0.991, 0.589, 0.500)
Sb (0.704, 0.476, 0.000)
Sb (0.275, 0.780, 0.000)
Sb (0.775, 0.720, 0.000)
Sb (0.796, 0.976, 0.000)
Sb (0.296, 0.524, 0.000)
Sb (0.225, 0.280, 0.000)
Sb (0.725, 0.220, 0.000)
Sb (0.204, 0.024, 0.000)
Pb (0.255, 0.120, 0.500)
Pb (0.984, 0.729, 0.500)
Pb (0.516, 0.229, 0.500)
Pb (0.745, 0.880, 0.500)
Pb (0.484, 0.771, 0.500)
Pb (0.245, 0.620, 0.500)
Pb (0.016, 0.271, 0.500)
Pb (0.755, 0.380, 0.500)

[13]
DFT (PBE) results for CdSbPbF after structural relaxation.

Calculated values
As for the energy above the most stable polymorph in this dataset: 27.9 kJ per mole of atoms.

Cell: 12.440 12.440 5.136 Å, 90.00 90.00 164.60°
Element x y z (fractional)
Sb (0.261, 0.739, 0.250)
Sb (0.739, 0.261, 0.750)
Pb (0.386, 0.614, 0.250)
Pb (0.614, 0.386, 0.750)
Cd (0.000, 0.000, 0.500)
Cd (0.000, 0.000, 0.000)
F (0.597, 0.403, 0.250)
F (0.403, 0.597, 0.750)

[14]
DFT (PBE) results for CdSbPbF after structural relaxation.

Calculated values
As for the energy above the most stable polymorph in this dataset: 0.0 kJ per mole of atoms.

Cell: 11.392 11.392 11.392 Å, 23.03 23.03 23.03°
Element x y z (fractional)
F (0.692, 0.692, 0.692)
F (0.308, 0.308, 0.308)
Sb (0.896, 0.896, 0.896)
Sb (0.104, 0.104, 0.104)
Cd (0.194, 0.194, 0.194)
Cd (0.806, 0.806, 0.806)
Pb (0.382, 0.382, 0.382)
Pb (0.618, 0.618, 0.618)

[15]
DFT (PBE) results for CdSbPbF after structural relaxation.

Calculated values
As for the energy above the most stable polymorph in this dataset: 28.2 kJ per mole of atoms.

Cell: 4.490 4.490 9.219 Å, 90.00 90.00 90.05°
Element x y z (fractional)
Pb (0.750, 0.750, 0.500)
Pb (0.250, 0.250, 0.500)
Cd (0.250, 0.750, 0.133)
Cd (0.750, 0.250, 0.867)
F (0.750, 0.750, 0.000)
F (0.250, 0.250, 0.000)
Sb (0.750, 0.250, 0.255)
Sb (0.250, 0.750, 0.745)

[16]
DFT (PBE) results for CdSbPbF after structural relaxation.

Calculated values
As for the energy above the most stable polymorph in this dataset: 10.3 kJ per mole of atoms.

Cell: 12.859 12.859 12.859 Å, 18.75 18.75 18.75°
Element x y z (fractional)
Pb (0.801, 0.801, 0.801)
Pb (0.199, 0.199, 0.199)
F (0.686, 0.686, 0.686)
F (0.314, 0.314, 0.314)
Cd (0.627, 0.627, 0.627)
Cd (0.373, 0.373, 0.373)
Sb (0.086, 0.086, 0.086)
Sb (0.914, 0.914, 0.914)

[17]
DFT (PBE) results for CdSbPbF after structural relaxation.

Calculated values
As for the energy above the most stable polymorph in this dataset: 13.1 kJ per mole of atoms.

Cell: 10.337 17.332 4.453 Å, 90.00 90.00 90.00°
Element x y z (fractional)
Cd (0.910, 0.736, 0.000)
Cd (0.845, 0.098, 0.000)
Cd (0.090, 0.264, 0.000)
Cd (0.155, 0.902, 0.000)
Cd (0.410, 0.764, 0.000)
Cd (0.655, 0.598, 0.000)
Cd (0.345, 0.402, 0.000)
Cd (0.590, 0.236, 0.000)
Pb (0.622, 0.751, 0.500)
Pb (0.173, 0.560, 0.500)
Pb (0.673, 0.940, 0.500)
Pb (0.878, 0.251, 0.500)
Pb (0.122, 0.749, 0.500)
Pb (0.327, 0.060, 0.500)
Pb (0.378, 0.249, 0.500)
Pb (0.827, 0.440, 0.500)
F (0.230, 0.687, 0.000)
F (0.270, 0.187, 0.000)
F (0.770, 0.313, 0.000)
F (0.713, 0.984, 0.000)
F (0.787, 0.484, 0.000)
F (0.287, 0.016, 0.000)
F (0.213, 0.516, 0.000)
F (0.730, 0.813, 0.000)
Sb (0.859, 0.627, 0.500)
Sb (0.359, 0.873, 0.500)
Sb (0.025, 0.082, 0.500)
Sb (0.641, 0.127, 0.500)
Sb (0.975, 0.918, 0.500)
Sb (0.475, 0.582, 0.500)
Sb (0.525, 0.418, 0.500)
Sb (0.141, 0.373, 0.500)

[18]
DFT (PBE) results for Cd2Te2PbF2 after structural relaxation.

Calculated values
As for the total energy: -3.181 eV/atom.

Cell: 4.015 4.015 10.177 Å, 90.00 90.00 90.00°
Element x y z (fractional)
Te (0.000, 0.500, 0.271)
Te (0.500, 0.000, 0.729)
F (0.500, 0.500, 0.000)
F (0.000, 0.000, 0.000)
Cd (0.000, 0.500, 0.867)
Cd (0.500, 0.000, 0.133)
Pb (0.500, 0.500, 0.500)

[19]
DFT (PBE) results for CdTe2Pb2F2 after structural relaxation.

Calculated values
As for the total energy: -3.807 eV/atom.

Cell: 4.226 4.226 9.922 Å, 90.00 90.00 90.00°
Element x y z (fractional)
Te (0.500, 0.000, 0.691)
Te (0.000, 0.500, 0.309)
F (0.000, 0.000, 0.000)
F (0.500, 0.500, 0.000)
Pb (0.500, 0.000, 0.148)
Pb (0.000, 0.500, 0.852)
Cd (0.500, 0.500, 0.500)

[20]
DFT (PBE) results for CdPdF4 after structural relaxation.

Calculated values
As for the total energy: -3.898 eV/atom.

Cell: 6.492 6.492 6.492 Å, 130.57 130.57 72.50°
Element x y z (fractional)
F (0.954, 0.454, 0.136)
F (0.318, 0.818, 0.864)
F (0.046, 0.546, 0.864)
F (0.818, 0.954, 0.500)
F (0.546, 0.682, 0.500)
F (0.182, 0.046, 0.500)
F (0.454, 0.318, 0.500)
F (0.682, 0.182, 0.136)
Pd (0.000, 0.500, 0.500)
Pd (0.500, 0.000, 0.500)
Cd (0.250, 0.250, 0.000)
Cd (0.750, 0.750, 0.000)